Record 1
## CaLa12Ho5 (PBE)

Data for an optimized crystal structure of CaLa12Ho5.

Cell: 11.7193 10.8316 6.0501 Å, 90.00 89.99 57.25°
With the nearest neighbours (Å) after each atom.
Fractional positions:
Ca (0.0000, 0.0000, 0.0000)  8 La 3.60
La (0.8338, 0.0000, 0.5001)  3 Ho 3.58-3.91, 2 Ca 3.60, 5 La 3.71-3.89
La (0.1662, 0.0000, 0.4999)  3 Ho 3.58-3.91, 2 Ca 3.60, 5 La 3.71-3.89
La (0.6484, 0.0000, 0.0002)  5 La 3.48-3.83, 4 Ho 3.48-3.49
La (0.3517, 0.0000, 0.9998)  5 La 3.48-3.83, 4 Ho 3.48-3.49
La (0.3282, 0.6612, 0.0004)  3 Ho 3.54-3.55, 1 Ca 3.60, 5 La 3.63-3.83
La (0.0106, 0.6612, 0.9997)  3 Ho 3.54-3.56, 1 Ca 3.60, 5 La 3.63-3.83
La (0.9894, 0.3388, 0.0004)  3 Ho 3.54-3.56, 1 Ca 3.60, 5 La 3.63-3.83
La (0.6718, 0.3389, 0.9996)  3 Ho 3.54-3.56, 1 Ca 3.60, 5 La 3.63-3.83
La (0.4873, 0.3373, 0.4997)  4 Ho 3.53-3.58, 5 La 3.66-3.72
La (0.8247, 0.6627, 0.4998)  4 Ho 3.53-3.58, 5 La 3.66-3.72
La (0.1753, 0.3373, 0.5003)  4 Ho 3.53-3.58, 5 La 3.66-3.72
La (0.5127, 0.6627, 0.5003)  4 Ho 3.53-3.58, 5 La 3.66-3.72
Ho (0.5000, 0.0000, 0.5000)  8 La 3.49-3.58
Ho (0.1648, 0.6703, 0.5001)  8 La 3.54-3.58
Ho (0.8352, 0.3297, 0.5000)  8 La 3.54-3.58
Ho (0.6654, 0.6693, 0.0000)  8 La 3.48-3.54
Ho (0.3346, 0.3308, 0.0000)  8 La 3.48-3.54

Properties
space-group type = Cmmm
ΔH_f (0 K) = 1.8 eV per formula unit
calculated total energy = -4.57 eV per atom

Record 2
## CaLaHo4 (PBE)

Data for an optimized crystal structure of CaLaHo4.

Cell: 6.6962 6.6962 6.6962 Å, 60.00 60.00 60.00°
With the nearest neighbours (Å) after each atom.
Fractional positions:
Ca (0.0000, 0.0000, 0.0000)  12 Ho 3.93, 4 La 4.10
Ho (0.6241, 0.6241, 0.1277)  6 Ho 3.32-3.37
Ho (0.6241, 0.1277, 0.6241)  6 Ho 3.32-3.37
Ho (0.6241, 0.6241, 0.6241)  6 Ho 3.32-3.37
Ho (0.1277, 0.6241, 0.6241)  6 Ho 3.32-3.37
La (0.2500, 0.2500, 0.2500)  12 Ho 3.92, 4 Ca 4.10

Properties
space-group type = F-43m
ΔH_f (0 K) = 1.3 eV per formula unit
calculated total energy = -3.99 eV per atom

Record 3
## CaLa6Ho2 (PBE)

Data for an optimized crystal structure of CaLa6Ho2.

Cell: 6.1688 6.1688 11.8411 Å, 90.00 90.00 120.00°
With the nearest neighbours (Å) after each atom.
Fractional positions:
Ca (0.0000, 0.0000, 0.0000)  6 La 3.75
La (0.3187, 0.3187, 0.7307)  6 La 3.40-3.64, 2 Ho 3.45, 1 Ca 3.75
La (0.6813, 0.0000, 0.7307)  6 La 3.40-3.64, 2 Ho 3.45, 1 Ca 3.75
La (0.0000, 0.6813, 0.7307)  6 La 3.40-3.64, 2 Ho 3.45, 1 Ca 3.75
La (0.3187, 0.0000, 0.2693)  6 La 3.40-3.64, 2 Ho 3.45, 1 Ca 3.75
La (0.0000, 0.3187, 0.2693)  6 La 3.40-3.64, 2 Ho 3.45, 1 Ca 3.75
La (0.6813, 0.6813, 0.2693)  6 La 3.40-3.64, 2 Ho 3.45, 1 Ca 3.75
Ho (0.6667, 0.3333, 0.5000)  6 La 3.45, 3 Ho 3.56
Ho (0.3333, 0.6667, 0.5000)  6 La 3.45, 3 Ho 3.56

Properties
space-group type = P-31m
ΔH_f (0 K) = 4.2 eV per formula unit
calculated total energy = -4.06 eV per atom